VASP calculation (PBE) on an optimized crystal structure of TaBe2Sb.

Unit cell a=4.016 b=4.016 c=3.600 alpha=90.00 beta=90.00 gamma=90.05
Atoms (fractional coordinates):
Sb 0.500 0.000 0.500
Be 0.000 0.000 0.000
Be 0.500 0.500 0.000
Ta 0.000 0.500 0.500

Summary:
Total magnetic moment   0.00 μB/atom
DFT total energy   -22.11 eV for the cell shown
Formation energy from raw total energies   329 meV/atom
Crystal system   tetragonal
Space group   P4/mmm, No. 123

VASP calculation (PBE) on an optimized crystal structure of YSnHRh2.

Unit cell a=4.290 b=4.290 c=4.191 alpha=90.00 beta=90.00 gamma=90.00
Atoms (fractional coordinates):
Y 0.000 0.000 0.500
H 0.000 0.000 0.000
Rh 0.000 0.500 0.000
Rh 0.500 0.000 0.000
Sn 0.500 0.500 0.500

Summary:
Total magnetic moment   0.00 μB/atom
DFT total energy   -30.96 eV for the cell shown
Crystal system   tetragonal
Space group   P4/mmm, No. 123

DFT total energy of number 2 (YSnHRh2)? -30.96 eV for the cell shown

What did the first record say?
VASP calculation (PBE) on an optimized crystal structure of TaBe2Sb.

Unit cell a=4.016 b=4.016 c=3.600 alpha=90.00 beta=90.00 gamma=90.05
Atoms (fractional coordinates):
Sb 0.500 0.000 0.500
Be 0.000 0.000 0.000
Be 0.500 0.500 0.000
Ta 0.000 0.500 0.500

Summary:
Total magnetic moment   0.00 μB/atom
DFT total energy   -22.11 eV for the cell shown
Formation energy from raw total energies   329 meV/atom
Crystal system   tetragonal
Space group   P4/mmm, No. 123